1.
## CaOsW3 (PBE)

Data for crystalline CaOsW3 at its relaxed geometry.

Lattice parameters (Å, degrees): 4.849 4.849 4.849 90.00 90.00 90.00
Each line ends with the local moment (μB).
Fractional positions:
Ca 0.500 0.500 0.500  0.04
Os 0.000 0.000 0.000  0.01
W 0.000 0.500 0.000  0.36
W 0.000 0.000 0.500  0.55
W 0.500 0.000 0.000  0.24

calculated formation energy	36.364	kcal/mol of atoms
crystal system	cubic
relative energy among the computed polymorphs	0.000	eV/f.u.
total magnetic moment	1.574	μB per cell

---

2.
## Np3Sb2O2 (PBE)

Data for crystalline Np3Sb2O2 at its relaxed geometry.

Lattice parameters (Å, degrees): 3.958 8.265 9.930 78.30 78.50 76.15
Each line ends with the local moment (μB).
Fractional positions:
Np 0.059 0.026 0.856  -3.78
Np 0.941 0.974 0.144  -3.78
Np 0.134 0.508 0.224  -3.69
Np 0.866 0.492 0.776  -3.69
Np 0.407 0.730 0.457  3.52
Np 0.593 0.270 0.543  3.52
Sb 0.268 0.119 0.345  -0.01
Sb 0.732 0.881 0.655  -0.01
Sb 0.372 0.266 0.990  0.10
Sb 0.628 0.734 0.010  0.10
O 0.035 0.249 0.681  0.02
O 0.965 0.751 0.319  0.02
O 0.421 0.512 0.645  0.00
O 0.579 0.488 0.355  0.00

crystal system	monoclinic
total magnetic moment	8.053	μB per cell
E_form (uncorrected)	-1445	meV per atom

---

3.
## CdRh (PBE)

Data for crystalline CdRh at its relaxed geometry.

Lattice parameters (Å, degrees): 4.979 4.979 4.979 131.61 131.61 70.84
Fractional positions:
Cd 0.000 0.000 0.000
Cd 0.750 0.250 0.500
Rh 0.250 0.750 0.500
Rh 0.500 0.500 0.000

calculated formation energy	0.250	kcal/mol of atoms
crystal system	tetragonal
total magnetic moment	0.000	μB per cell

---

4.
## La2InCl (PBE)

Data for crystalline La2InCl at its relaxed geometry.

Lattice parameters (Å, degrees): 5.507 5.507 5.507 60.00 60.00 60.00
Fractional positions:
Cl 0.000 0.000 0.000
In 0.500 0.500 0.500
La 0.250 0.250 0.250
La 0.750 0.750 0.750

crystal system	cubic
relative energy among the computed polymorphs	0.746	eV/f.u.
total magnetic moment	0.000	μB per cell
E_form (uncorrected)	-814	meV per atom

---

5.
## KTl3Cd3 (PBE)

Data for crystalline KTl3Cd3 at its relaxed geometry.

Lattice parameters (Å, degrees): 4.906 10.012 10.012 120.00 90.00 90.00
Fractional positions:
K 0.750 0.333 0.667
K 0.250 0.667 0.333
Tl 0.750 0.416 0.344
Tl 0.750 0.928 0.584
Tl 0.750 0.656 0.072
Tl 0.250 0.584 0.656
Tl 0.250 0.072 0.416
Tl 0.250 0.344 0.928
Cd 0.750 0.044 0.210
Cd 0.750 0.165 0.956
Cd 0.750 0.790 0.835
Cd 0.250 0.956 0.790
Cd 0.250 0.835 0.044
Cd 0.250 0.210 0.165

calculated formation energy	-0.036	kcal/mol of atoms
crystal system	hexagonal
relative energy among the computed polymorphs	0.199	eV/f.u.
total magnetic moment	0.000	μB per cell

---

6.
## Tl2In6BiPb3 (PBE)

Data for crystalline Tl2In6BiPb3 at its relaxed geometry.

Lattice parameters (Å, degrees): 4.193 4.193 23.081 90.00 90.00 90.00
Fractional positions:
Tl 0.500 0.500 0.192
Tl 0.500 0.500 0.808
In 0.000 0.500 0.611
In 0.500 0.000 0.389
In 0.500 0.000 0.611
In 0.000 0.000 0.129
In 0.000 0.500 0.389
In 0.000 0.000 0.871
Bi 0.500 0.500 0.500
Pb 0.000 0.000 0.275
Pb 0.000 0.000 0.725
Pb 0.000 0.000 0.000

calculated formation energy	4.534	kcal/mol of atoms
crystal system	tetragonal
total magnetic moment	0.000	μB per cell